[1]
Computed, not measured: a relaxed Pm4BiAs3 crystal at the GGA-PBE level of DFT.

abc: 4.2806 4.2806 28.9023
angles: 90.00 90.00 120.00
Last column: nearest neighbours and their distance in Å.
Space group P6_3/mmc (No. 194)
Unique sites:
Pm 0.0000 0.0000 0.1757 x4  3 As 2.96, 3 Bi 3.27
Pm 0.3333 0.6667 0.0586 x4  6 As 3.00-3.03
Bi 0.3333 0.6667 0.2500 x2  6 Pm 3.27
As 0.0000 0.0000 0.0000 x2  6 Pm 3.00
As 0.3333 0.6667 0.6195 x4  6 Pm 2.96-3.03

Summary:
ΔE_f (kcal/mol of atoms): -31.4
Calculated total energy (eV/cell): -95.4
Volume (Å³ per atom): 28.67

=====

[2]
Computed, not measured: a relaxed PmPrBiAs crystal at the GGA-PBE level of DFT.

abc: 4.4107 4.4107 22.0210
angles: 90.00 90.00 120.00
Last column: nearest neighbours and their distance in Å.
Space group R3m (No. 160, hexagonal axes)
Unique sites:
Pm 0.0000 0.0000 0.0000 x3  3 As 3.03, 3 Bi 3.22
Pr 0.0000 0.0000 0.4853 x3  3 As 3.06, 3 Bi 3.25
Bi 0.0000 0.0000 0.2440 x3  3 Pm 3.22, 3 Pr 3.25
As 0.0000 0.0000 0.7414 x3  3 Pm 3.03, 3 Pr 3.06

Summary:
ΔE_f (kcal/mol of atoms): -27.9
Calculated total energy (eV/cell): -68.7
Volume (Å³ per atom): 30.92

=====

[3]
Computed, not measured: a relaxed PmBiAsPt crystal at the GGA-PBE level of DFT.

abc: 7.2018 7.2018 7.2018
angles: 90.00 90.00 90.00
Last column: nearest neighbours and their distance in Å.
Space group F-43m (No. 216)
Unique sites:
Pm 0.0000 0.0000 0.0000 x4  4 As 3.12, 4 Pt 3.12
Bi 0.0000 0.0000 0.5000 x4  4 Pt 3.12, 4 As 3.12
As 0.2500 0.2500 0.2500 x4  4 Bi 3.12, 4 Pm 3.12
Pt 0.2500 0.2500 0.7500 x4  4 Bi 3.12, 4 Pm 3.12

Summary:
ΔE_f (kcal/mol of atoms): -12.5
Calculated total energy (eV/cell): -86.0
Volume (Å³ per atom): 23.35

=====

[4]
Computed, not measured: a relaxed Pm3BiAs2Rh9 crystal at the GGA-PBE level of DFT.

abc: 6.2576 6.2576 9.6031
angles: 90.00 90.00 120.00
Last column: nearest neighbours and their distance in Å.
Space group P-3m1 (No. 164)
Unique sites:
Pm 0.0000 0.0000 0.0000 x1  12 Rh 3.02-3.13
Pm 0.3333 0.6667 0.7411 x2  9 Rh 3.07-3.14
Bi 0.0000 0.0000 0.5000 x1  6 Rh 2.71
As 0.3333 0.6667 0.1649 x2  6 Rh 2.29-2.40
Rh 0.0000 0.5000 0.0000 x3  2 As 2.40
Rh 0.1436 0.2872 0.2692 x6  1 As 2.29

Summary:
ΔE_f (kcal/mol of atoms): -9.1
Calculated total energy (eV/cell): -99.5
Volume (Å³ per atom): 21.71

=====

[5]
Computed, not measured: a relaxed Pm2BiAs3Rh4 crystal at the GGA-PBE level of DFT.

abc: 4.1803 4.1803 11.2009
angles: 90.00 90.00 90.00
Last column: nearest neighbours and their distance in Å.
Space group P-4m2 (No. 115)
Unique sites:
Pm 0.0000 0.5000 0.2312 x2  4 As 3.17, 8 Rh 3.20-3.33
Bi 0.0000 0.0000 0.5000 x1  4 Rh 2.74, 4 As 2.96
As 0.0000 0.5000 0.8721 x2  5 Rh 2.39-2.53
As 0.5000 0.5000 0.5000 x1  4 Rh 2.74, 4 Bi 2.96
Rh 0.0000 0.0000 0.0000 x1  4 As 2.53
Rh 0.0000 0.5000 0.6587 x2  1 As 2.39
Rh 0.5000 0.5000 0.0000 x1  4 As 2.53

Summary:
ΔE_f (kcal/mol of atoms): -17.8
Calculated total energy (eV/cell): -64.5
Volume (Å³ per atom): 19.57

=====

[6]
Computed, not measured: a relaxed PmBi2As2Rh7 crystal at the GGA-PBE level of DFT.

abc: 5.7241 5.7120 14.1588
angles: 90.00 98.20 90.00
Last column: nearest neighbours and their distance in Å.
Space group C2/m (No. 12)
Unique sites:
Pm 0.0000 0.0000 0.0000 x2  12 Rh 2.86-2.96
Bi 0.1165 0.0000 0.3910 x4  5 Rh 2.79-2.91
As 0.0865 0.5000 0.2487 x4  5 Rh 2.42-2.48
Rh 0.0000 0.5000 0.0000 x2  4 Pm 2.86, 8 Rh 2.95-2.96
Rh 0.1293 0.5000 0.4255 x4  1 As 2.48, 1 Rh 2.75
Rh 0.1969 0.2501 0.8460 x8  2 As 2.42

Summary:
ΔE_f (kcal/mol of atoms): -5.8
Calculated total energy (eV/cell): -152.5
Volume (Å³ per atom): 19.09

=====

[7]
Computed, not measured: a relaxed Pm4Bi2AsS crystal at the GGA-PBE level of DFT.

abc: 7.5059 4.3429 7.6164
angles: 90.00 109.20 90.00
Last column: nearest neighbours and their distance in Å.
Space group P2/m (No. 10)
Unique sites:
Pm 0.2413 0.0000 0.2252 x2  2 S 2.98, 1 As 2.98, 3 Bi 3.19
Pm 0.2574 0.5000 0.7741 x2  1 S 2.98, 2 As 2.99, 3 Bi 3.19
Bi 0.0000 0.0000 0.5000 x1  6 Pm 3.19
Bi 0.5000 0.5000 0.5000 x1  6 Pm 3.19
As 0.5000 0.0000 0.0000 x1  6 Pm 2.98-2.99
S 0.0000 0.5000 0.0000 x1  6 Pm 2.98

Summary:
Calculated total energy (eV/cell): -46.1
ΔE_f (raw) (meV/atom): -1326.1
Volume (Å³ per atom): 29.31

=====

[8]
Computed, not measured: a relaxed Pm4BiSb2As crystal at the GGA-PBE level of DFT.

abc: 7.7057 4.4463 7.7292
angles: 90.00 109.38 90.00
Last column: nearest neighbours and their distance in Å.
Space group P2/m (No. 10)
Unique sites:
Pm 0.2409 0.0000 0.2373 x2  2 As 3.08, 3 Sb 3.13-3.22, 1 Bi 3.17
Pm 0.2477 0.5000 0.7595 x2  1 As 3.07, 3 Sb 3.13-3.22, 2 Bi 3.17
Bi 0.0000 0.0000 0.5000 x1  6 Pm 3.17
Sb 0.5000 0.0000 0.0000 x1  6 Pm 3.13
Sb 0.5000 0.5000 0.5000 x1  6 Pm 3.22
As 0.0000 0.5000 0.0000 x1  6 Pm 3.07-3.08

Summary:
Calculated total energy (eV/cell): -45.2
ΔE_f (raw) (meV/atom): -1183.4
Volume (Å³ per atom): 31.23

=====

[9]
Computed, not measured: a relaxed Pm4Bi2SbAs crystal at the GGA-PBE level of DFT.

abc: 7.7400 4.4576 7.7728
angles: 90.00 109.27 90.00
Last column: nearest neighbours and their distance in Å.
Space group P2/m (No. 10)
Unique sites:
Pm 0.2367 0.0000 0.2332 x2  2 As 3.07, 1 Sb 3.14, 3 Bi 3.19-3.26
Pm 0.2459 0.5000 0.7616 x2  1 As 3.06, 2 Sb 3.14, 3 Bi 3.19-3.26
Bi 0.0000 0.0000 0.5000 x1  6 Pm 3.19
Bi 0.5000 0.5000 0.5000 x1  6 Pm 3.26
Sb 0.5000 0.0000 0.0000 x1  6 Pm 3.14
As 0.0000 0.5000 0.0000 x1  6 Pm 3.06-3.07

Summary:
Calculated total energy (eV/cell): -44.6
ΔE_f (raw) (meV/atom): -1126.8
Volume (Å³ per atom): 31.64

=====

[10]
Computed, not measured: a relaxed Pm6Bi3SbAs2 crystal at the GGA-PBE level of DFT.

abc: 19.4299 4.4335 8.9362
angles: 90.00 103.78 90.00
Last column: nearest neighbours and their distance in Å.
Space group C2/m (No. 12)
Unique sites:
Pm 0.0074 0.0000 0.2505 x4  1 As 3.03, 2 Sb 3.13, 3 Bi 3.17-3.24
Pm 0.1676 0.5000 0.0991 x4  2 As 3.06, 1 Sb 3.16, 3 Bi 3.18-3.25
Pm 0.1721 0.5000 0.5711 x4  3 As 3.02-3.05, 3 Bi 3.25
Bi 0.0000 0.5000 0.5000 x2  6 Pm 3.17-3.25
Bi 0.1641 0.0000 0.8317 x4  6 Pm 3.18-3.25
Sb 0.0000 0.5000 0.0000 x2  6 Pm 3.13-3.16
As 0.1682 0.0000 0.3349 x4  6 Pm 3.02-3.06

Summary:
Calculated total energy (eV/cell): -134.9
ΔE_f (raw) (meV/atom): -1155.9
Volume (Å³ per atom): 31.15

=====

[11]
Computed, not measured: a relaxed Pm6Bi2SbAs3 crystal at the GGA-PBE level of DFT.

abc: 19.2107 4.3704 8.8286
angles: 90.00 104.19 90.00
Last column: nearest neighbours and their distance in Å.
Space group C2/m (No. 12)
Unique sites:
Pm 0.0048 0.0000 0.2422 x4  3 As 3.02-3.04, 2 Sb 3.17, 1 Bi 3.20
Pm 0.1611 0.5000 0.0958 x4  3 As 3.00-3.01, 3 Bi 3.20-3.21
Pm 0.1700 0.5000 0.5701 x4  3 As 3.01-3.04, 1 Sb 3.17, 2 Bi 3.20
Bi 0.1669 0.0000 0.8337 x4  6 Pm 3.20-3.21
Sb 0.0000 0.5000 0.5000 x2  6 Pm 3.17
As 0.0000 0.5000 0.0000 x2  6 Pm 3.00-3.04
As 0.1668 0.0000 0.3337 x4  6 Pm 3.01-3.04

Summary:
Calculated total energy (eV/cell): -138.8
ΔE_f (raw) (meV/atom): -1255.3
Volume (Å³ per atom): 29.94

=====

[12]
Computed, not measured: a relaxed Pm4BiAs2Se crystal at the GGA-PBE level of DFT.

abc: 7.4564 4.3064 7.5193
angles: 90.00 109.24 90.00
Last column: nearest neighbours and their distance in Å.
Space group P2/m (No. 10)
Unique sites:
Pm 0.2382 0.0000 0.2319 x2  3 As 2.96-3.02, 1 Se 3.09, 2 Bi 3.15
Pm 0.2501 0.5000 0.7651 x2  3 As 2.96-3.01, 2 Se 3.10, 1 Bi 3.15
Bi 0.5000 0.5000 0.5000 x1  6 Pm 3.15
As 0.0000 0.5000 0.0000 x1  6 Pm 2.96
As 0.5000 0.0000 0.0000 x1  6 Pm 3.01-3.02
Se 0.0000 0.0000 0.5000 x1  6 Pm 3.09-3.10

Summary:
Calculated total energy (eV/cell): -47.4
ΔE_f (raw) (meV/atom): -1472.6
Volume (Å³ per atom): 28.50

=====

[13]
Computed, not measured: a relaxed Pm6Bi3AsSe2 crystal at the GGA-PBE level of DFT.

abc: 19.2131 4.3896 8.8140
angles: 90.00 103.63 90.00
Last column: nearest neighbours and their distance in Å.
Space group C2/m (No. 12)
Unique sites:
Pm 0.0028 0.0000 0.2341 x4  2 As 3.00, 1 Se 3.06, 3 Bi 3.20-3.22
Pm 0.1594 0.5000 0.0896 x4  1 As 2.98, 2 Se 3.05, 3 Bi 3.18-3.22
Pm 0.1694 0.5000 0.5740 x4  3 Se 3.04-3.06, 3 Bi 3.17
Bi 0.0000 0.5000 0.5000 x2  6 Pm 3.17-3.22
Bi 0.1684 0.0000 0.8332 x4  6 Pm 3.17-3.22
As 0.0000 0.5000 0.0000 x2  6 Pm 2.98-3.00
Se 0.1668 0.0000 0.3338 x4  6 Pm 3.04-3.06

Summary:
Calculated total energy (eV/cell): -135.4
ΔE_f (raw) (meV/atom): -1327.0
Volume (Å³ per atom): 30.10

=====

[14]
Computed, not measured: a relaxed Pm6Bi2AsSe3 crystal at the GGA-PBE level of DFT.

abc: 18.9217 4.3305 8.6894
angles: 90.00 102.85 90.00
Last column: nearest neighbours and their distance in Å.
Space group C2/m (No. 12)
Unique sites:
Pm 0.0038 0.0000 0.2646 x4  2 As 2.99, 3 Se 3.05-3.15, 1 Bi 3.17
Pm 0.1597 0.5000 0.0962 x4  3 Se 2.95-2.99, 3 Bi 3.16-3.19
Pm 0.1603 0.5000 0.5691 x4  1 As 2.96, 3 Se 2.99-3.15, 2 Bi 3.16
Bi 0.1677 0.0000 0.8365 x4  6 Pm 3.16-3.19
As 0.0000 0.5000 0.5000 x2  6 Pm 2.96-2.99
Se 0.0000 0.5000 0.0000 x2  6 Pm 2.95-3.15
Se 0.1689 0.0000 0.3368 x4  6 Pm 2.99-3.15

Summary:
Calculated total energy (eV/cell): -138.2
ΔE_f (raw) (meV/atom): -1478.1
Volume (Å³ per atom): 28.92

=====

[15]
Computed, not measured: a relaxed Pm4BiAsSe2 crystal at the GGA-PBE level of DFT.

abc: 7.4127 4.3077 7.5355
angles: 90.00 109.51 90.00
Last column: nearest neighbours and their distance in Å.
Space group P2/m (No. 10)
Unique sites:
Pm 0.2412 0.0000 0.2311 x2  3 Se 2.96-3.12, 1 As 2.99, 2 Bi 3.14
Pm 0.2525 0.5000 0.7647 x2  3 Se 2.98-3.10, 2 As 3.00, 1 Bi 3.13
Bi 0.5000 0.5000 0.5000 x1  6 Pm 3.13-3.14
As 0.5000 0.0000 0.0000 x1  6 Pm 2.99-3.00
Se 0.0000 0.0000 0.5000 x1  6 Pm 3.10-3.12
Se 0.0000 0.5000 0.0000 x1  6 Pm 2.96-2.98

Summary:
Calculated total energy (eV/cell): -46.8
ΔE_f (raw) (meV/atom): -1531.3
Volume (Å³ per atom): 28.35

=====

[16]
Computed, not measured: a relaxed TbPmBiAs crystal at the GGA-PBE level of DFT.

abc: 4.3272 4.3272 21.6635
angles: 90.00 90.00 120.00
Last column: nearest neighbours and their distance in Å.
Space group R3m (No. 160, hexagonal axes)
Unique sites:
Tb 0.0000 0.0000 0.0000 x3  3 As 2.96, 3 Bi 3.16
Pm 0.0000 0.0000 0.5154 x3  3 As 3.01, 3 Bi 3.21
Bi 0.0000 0.0000 0.7558 x3  3 Tb 3.16, 3 Pm 3.21
As 0.0000 0.0000 0.2596 x3  3 Tb 2.96, 3 Pm 3.01

Summary:
ΔE_f (kcal/mol of atoms): -27.6
Calculated total energy (eV/cell): -68.1
Volume (Å³ per atom): 29.28

=====

[17]
Computed, not measured: a relaxed Pm8Bi4Te3As crystal at the GGA-PBE level of DFT.

abc: 9.0086 9.0086 21.9818
angles: 90.00 90.00 120.00
Last column: nearest neighbours and their distance in Å.
Space group R-3m (No. 166, hexagonal axes)
Unique sites:
Pm 0.0000 0.0000 0.2495 x6  3 Bi 3.17, 3 Te 3.19
Pm 0.0133 0.5067 0.7471 x18  1 As 3.06, 3 Bi 3.18-3.30, 2 Te 3.19
Bi 0.0000 0.0000 0.5000 x3  6 Pm 3.30
Bi 0.0000 0.5000 0.5000 x9  6 Pm 3.17-3.18
Te 0.0000 0.5000 0.0000 x9  6 Pm 3.19
As 0.0000 0.0000 0.0000 x3  6 Pm 3.06

Summary:
Calculated total energy (eV/cell): -260.5
ΔE_f (raw) (meV/atom): -1202.4
Volume (Å³ per atom): 32.19

=====

[18]
Computed, not measured: a relaxed Pm6Bi2TeAs3 crystal at the GGA-PBE level of DFT.

abc: 19.1960 4.3632 8.8347
angles: 90.00 104.25 90.00
Last column: nearest neighbours and their distance in Å.
Space group C2/m (No. 12)
Unique sites:
Pm 0.0052 0.0000 0.2353 x4  3 As 3.00, 1 Bi 3.20, 2 Te 3.22
Pm 0.1617 0.5000 0.0956 x4  3 As 3.01-3.02, 3 Bi 3.21
Pm 0.1719 0.5000 0.5706 x4  3 As 3.01, 2 Bi 3.20, 1 Te 3.20
Bi 0.1662 0.0000 0.8323 x4  6 Pm 3.20-3.21
Te 0.0000 0.5000 0.5000 x2  6 Pm 3.20-3.22
As 0.0000 0.5000 0.0000 x2  6 Pm 3.00-3.01
As 0.1661 0.0000 0.3338 x4  6 Pm 3.00-3.02

Summary:
Calculated total energy (eV/cell): -138.7
ΔE_f (raw) (meV/atom): -1332.3
Volume (Å³ per atom): 29.88

=====

[19]
Computed, not measured: a relaxed Pm8Bi3Te4As crystal at the GGA-PBE level of DFT.

abc: 8.9866 8.9866 21.9560
angles: 90.00 90.00 120.00
Last column: nearest neighbours and their distance in Å.
Space group R-3m (No. 166, hexagonal axes)
Unique sites:
Pm 0.0000 0.0000 0.2497 x6  3 Bi 3.17, 3 Te 3.18
Pm 0.0171 0.5085 0.2456 x18  1 As 3.01, 2 Bi 3.18, 3 Te 3.18-3.34
Bi 0.0000 0.5000 0.5000 x9  6 Pm 3.17-3.18
Te 0.0000 0.0000 0.0000 x3  6 Pm 3.34
Te 0.0000 0.5000 0.0000 x9  6 Pm 3.18
As 0.0000 0.0000 0.5000 x3  6 Pm 3.01

Summary:
Calculated total energy (eV/cell): -261.5
ΔE_f (raw) (meV/atom): -1268.3
Volume (Å³ per atom): 31.99

=====

[20]
Computed, not measured: a relaxed Pm8BiTe4As3 crystal at the GGA-PBE level of DFT.

abc: 8.7522 8.7522 21.8495
angles: 90.00 90.00 120.00
Last column: nearest neighbours and their distance in Å.
Space group R-3m (No. 166, hexagonal axes)
Unique sites:
Pm 0.0000 0.0000 0.2399 x6  3 As 2.99, 3 Te 3.25
Pm 0.0146 0.5073 0.7574 x18  2 As 2.98, 1 Bi 3.12, 3 Te 3.13-3.26
Bi 0.0000 0.0000 0.5000 x3  6 Pm 3.12
Te 0.0000 0.0000 0.0000 x3  6 Pm 3.13
Te 0.0000 0.5000 0.0000 x9  6 Pm 3.25-3.26
As 0.0000 0.5000 0.5000 x9  6 Pm 2.98-2.99

Summary:
Calculated total energy (eV/cell): -274.4
ΔE_f (raw) (meV/atom): -1441.8
Volume (Å³ per atom): 30.20